Record 1
Below is a PBEsol-optimized structure of ZnW2Cl, with properties calculated at the meta-GGA SCAN level.

a b c (Å): 2.8085 4.5327 4.5327
angles (deg): 90.00 90.00 90.00
With the nearest neighbours (Å) after each atom.
Atoms (fractional coordinates):
1 Zn 0.5000 0.5000 0.5000  8 W 2.67, 2 Zn 2.81
2 W 0.0000 0.0000 0.5000  4 Cl 2.67, 4 Zn 2.67, 2 W 2.81
3 W 0.0000 0.5000 0.0000  4 Cl 2.67, 4 Zn 2.67, 2 W 2.81
4 Cl 0.5000 0.0000 0.0000  8 W 2.67, 2 Cl 2.81

Calculated values
Size of the total moment   0.00 μB/cell
Space group   P4/mmm
Energy above the most stable polymorph in this dataset   506 meV per atom
Energy relative to the elements, uncorrected   1.2053 eV/atom
Energy   -2.8673 Ry/atom

Record 2
Below is a PBEsol-optimized structure of NaEuTl2, with properties calculated at the meta-GGA SCAN level.

a b c (Å): 5.3514 5.3514 5.3514
angles (deg): 60.00 60.00 60.00
With the nearest neighbours (Å) after each atom.
Atoms (fractional coordinates):
1 Eu 0.0000 0.0000 0.0000  8 Tl 3.28
2 Na 0.5000 0.5000 0.5000  8 Tl 3.28
3 Tl 0.7500 0.7500 0.7500  4 Na 3.28, 4 Eu 3.28
4 Tl 0.2500 0.2500 0.2500  4 Na 3.28, 4 Eu 3.28

Calculated values
Size of the total moment   7.18 μB/cell
Space group   Fm-3m
Energy of formation   -171 kJ/mol of formula units
Energy   -3.7560 Ry/atom

Record 3
Below is a PBEsol-optimized structure of BaPbBr2, with properties calculated at the meta-GGA SCAN level.

a b c (Å): 4.2011 4.8169 6.3452
angles (deg): 90.00 90.00 90.00
With the nearest neighbours (Å) after each atom.
Atoms (fractional coordinates):
1 Pb 0.5000 0.5000 0.0000  4 Br 3.20
2 Ba 0.0000 0.5000 0.5000  4 Br 3.20
3 Br 0.0000 0.0000 0.0000  4 Pb 3.20
4 Br 0.5000 0.0000 0.5000  4 Ba 3.20

Calculated values
Size of the total moment   0.00 μB/cell
Space group   Pmmm
Energy above the most stable polymorph in this dataset   0 meV per atom
Energy relative to the elements, uncorrected   -1.2942 eV/atom
Energy   -2.9294 Ry/atom

> Which of these has the highest energy?

ZnW2Cl

> Among the records above, which one has the lowest energy?

NaEuTl2